# 1
Entry from OQMD via LeMat-Bulk: TbTlAgS3 after structural relaxation (PBE).

Computed properties:
Its symmetry is Cmcm, No. 63.

abc: 6.952 6.952 10.752
angles: 90.00 90.00 146.05
Atoms (fractional coordinates):
Tl: 0.221 0.779 0.250
Tb: 0.500 0.500 0.500
Tb: 0.500 0.500 0.000
S: 0.138 0.862 0.968
Tl: 0.779 0.221 0.750
S: 0.454 0.546 0.750
Ag: 0.914 0.086 0.250
S: 0.862 0.138 0.032
S: 0.138 0.862 0.532
S: 0.862 0.138 0.468
S: 0.546 0.454 0.250
Ag: 0.086 0.914 0.750

---

# 2
Entry from OQMD via LeMat-Bulk: TcAg2S3 after structural relaxation (PBE).

Computed properties:
Its symmetry is Cc, No. 9.

abc: 6.816 6.816 6.938
angles: 98.90 98.90 120.70
Atoms (fractional coordinates):
S: 0.018 0.491 0.013
S: 0.206 0.329 0.590
S: 0.633 0.836 0.029
Tc: 0.464 0.307 0.431
Ag: 0.137 0.577 0.388
Ag: 0.789 0.935 0.408
Ag: 0.935 0.789 0.908
S: 0.836 0.633 0.529
Ag: 0.577 0.137 0.888
S: 0.329 0.206 0.090
Tc: 0.307 0.464 0.931
S: 0.491 0.018 0.513

---

# 3
Entry from OQMD via LeMat-Bulk: TlTcAgS3 after structural relaxation (PBE).

Computed properties:
Its symmetry is Cmcm, No. 63.

abc: 8.396 8.396 9.442
angles: 90.00 90.00 22.69
Site moments in Bohr magnetons follow the coordinates.
Atoms (fractional coordinates):
S: 0.967 0.967 0.750  0.01
Tc: 0.000 0.000 0.000  0.16
S: 0.395 0.395 0.473  0.01
Tc: 0.000 0.000 0.500  0.18
S: 0.605 0.605 0.973  0.01
S: 0.605 0.605 0.527  0.01
Tl: 0.673 0.673 0.250  0.01
S: 0.395 0.395 0.027  0.01
Ag: 0.322 0.322 0.250  0.01
S: 0.033 0.033 0.250  0.01
Tl: 0.327 0.327 0.750  0.01
Ag: 0.678 0.678 0.750  0.01

---

# 4
Entry from OQMD via LeMat-Bulk: TlTcAgS3 after structural relaxation (PBE).

Computed properties:
Its symmetry is P2_1/m, No. 11.

abc: 7.844 3.599 9.741
angles: 90.00 110.44 90.00
Atoms (fractional coordinates):
S: 0.365 0.750 0.614
Ag: 0.534 0.250 0.119
Tl: 0.230 0.750 0.219
S: 0.635 0.250 0.386
Tl: 0.770 0.250 0.781
S: 0.965 0.750 0.611
Tc: 0.815 0.750 0.339
S: 0.035 0.250 0.389
S: 0.783 0.750 0.090
S: 0.217 0.250 0.910
Ag: 0.466 0.750 0.881
Tc: 0.185 0.250 0.661

---

Values for magnetic moment, μB/f.u., ordered as above
0.01 0.02 0.25 0.00
Values for total energy, eV/atom, ordered as above
-4.601 -4.834 -4.816 -4.851